[1]
Entry from Alexandria: an optimized crystal structure of Ba2ScRu (PBE).

Cell: 10.8640 10.8640 10.8640 Å, 20.08 20.08 20.08°
Closest atoms and distances in Å follow each position.
Atoms (fractional coordinates):
Ba1 0.2340 0.2340 0.2340  3 Ru 3.07
Ba2 0.7660 0.7660 0.7660  3 Ru 3.07
Sc1 0.0000 0.0000 0.0000  6 Sc 3.79, 6 Ba 3.85
Ru1 0.5000 0.5000 0.5000  6 Ba 3.07

Summary:
Crystal system   trigonal
Space group   R-3m
Excess energy over the best structure of this formula in the dataset   0.663 eV per atom
Calculated formation energy   753 meV per atom

---

[2]
Entry from Alexandria: an optimized crystal structure of Ba2ScRu (PBE).

Cell: 6.8329 6.8329 6.8329 Å, 147.11 126.66 64.10°
Closest atoms and distances in Å follow each position.
Atoms (fractional coordinates):
Ba1 0.0000 0.0000 0.0000  2 Ru 3.28
Ba2 0.6852 0.1852 0.5000  4 Ru 3.66, 2 Sc 3.68, 4 Ba 3.74-3.87
Sc1 0.3606 0.3606 0.0000  2 Ru 2.46
Ru1 0.2287 0.7287 0.5000  2 Sc 2.46

Summary:
Crystal system   orthorhombic
Space group   Imm2
Excess energy over the best structure of this formula in the dataset   0.094 eV per atom
Calculated formation energy   184 meV per atom

---

[3]
Entry from Alexandria: an optimized crystal structure of Ba2ScRu (PBE).

Cell: 5.4592 5.4592 5.4592 Å, 119.97 119.97 90.06°
Closest atoms and distances in Å follow each position.
Atoms (fractional coordinates):
Ba1 0.0000 0.0000 0.0000  4 Ba 3.34, 4 Sc 3.34
Ba2 0.7500 0.2500 0.5000  4 Ba 3.34, 4 Ru 3.34
Sc1 0.2500 0.7500 0.5000  4 Ba 3.34, 4 Ru 3.34
Ru1 0.5000 0.5000 0.0000  4 Ba 3.34, 4 Sc 3.34

Summary:
Crystal system   tetragonal
Space group   I-4m2
Excess energy over the best structure of this formula in the dataset   0.509 eV per atom
Calculated formation energy   599 meV per atom

---

[4]
Entry from Alexandria: an optimized crystal structure of BaScRu2 (PBE).

Cell: 3.1458 3.1458 8.9195 Å, 90.00 90.00 111.61°
Closest atoms and distances in Å follow each position.
Atoms (fractional coordinates):
Ba1 0.0000 0.0000 0.0000  4 Ru 3.07, 4 Ba 3.15
Sc1 0.0000 0.0000 0.5000  4 Ru 2.63
Ru1 0.5000 0.5000 0.2812  2 Sc 2.63
Ru2 0.5000 0.5000 0.7188  2 Sc 2.63

Summary:
Crystal system   orthorhombic
Space group   Cmmm
Calculated formation energy   438 meV per atom

---

[5]
Entry from Alexandria: an optimized crystal structure of Ba2ScRu (PBE).

Cell: 3.6668 3.6668 9.9859 Å, 90.00 90.00 90.00°
Closest atoms and distances in Å follow each position.
Atoms (fractional coordinates):
Ba1 0.0000 0.0000 0.0000  4 Ba 3.67, 1 Ru 3.68, 4 Sc 3.78
Ba2 0.5000 0.5000 0.3960  1 Sc 3.28, 4 Ru 3.50, 4 Ba 3.67
Sc1 0.5000 0.5000 0.7243  4 Ru 2.75
Ru1 0.0000 0.0000 0.6316  4 Sc 2.75

Summary:
Crystal system   tetragonal
Space group   P4mm
Excess energy over the best structure of this formula in the dataset   0.056 eV per atom
Calculated formation energy   146 meV per atom

---

[6]
Entry from Alexandria: an optimized crystal structure of BaSc3Ru (PBE).

Cell: 5.1349 5.1349 5.1349 Å, 90.00 90.00 90.00°
Closest atoms and distances in Å follow each position.
Atoms (fractional coordinates):
Ba1 0.0000 0.0000 0.0000  6 Sc 2.57
Sc1 0.0000 0.0000 0.5000  2 Ba 2.57
Sc2 0.0000 0.5000 0.0000  2 Ba 2.57
Sc3 0.5000 0.0000 0.0000  2 Ba 2.57
Ru1 0.5000 0.5000 0.5000  12 Sc 3.63

Summary:
Crystal system   cubic
Space group   Pm-3m
Excess energy over the best structure of this formula in the dataset   1.846 eV per atom
Calculated formation energy   1727 meV per atom

---

[7]
Entry from Alexandria: an optimized crystal structure of BaScRu2 (PBE).

Cell: 4.8391 4.8391 4.8391 Å, 60.00 60.00 60.00°
Closest atoms and distances in Å follow each position.
Atoms (fractional coordinates):
Ba1 0.0000 0.0000 0.0000  4 Ru 2.96, 4 Sc 2.96
Sc1 0.7500 0.7500 0.7500  4 Ba 2.96, 4 Ru 2.96
Ru1 0.2500 0.2500 0.2500  4 Ba 2.96, 4 Ru 2.96
Ru2 0.5000 0.5000 0.5000  4 Ru 2.96, 4 Sc 2.96

Summary:
Crystal system   cubic
Space group   F-43m
Calculated formation energy   680 meV per atom

---

[8]
Entry from Alexandria: an optimized crystal structure of BaScRu (PBE).

Cell: 4.2332 4.2332 5.8388 Å, 90.00 90.00 120.00°
Closest atoms and distances in Å follow each position.
Atoms (fractional coordinates):
Ba1 0.0000 0.0000 0.0000  3 Ru 3.20
Sc1 0.3333 0.6667 0.4780  3 Ru 2.55
Ru1 0.6667 0.3333 0.3550  3 Sc 2.55

Summary:
Crystal system   trigonal
Space group   P3m1
Excess energy over the best structure of this formula in the dataset   0.130 eV per atom
Calculated formation energy   213 meV per atom

---

[9]
Entry from Alexandria: an optimized crystal structure of BaScRu (PBE).

Cell: 7.0948 7.0948 7.0948 Å, 151.58 151.58 40.63°
Closest atoms and distances in Å follow each position.
Atoms (fractional coordinates):
Ba1 0.0000 0.0000 0.0000  4 Ru 3.33, 1 Sc 3.39, 4 Ba 3.48
Sc1 0.2550 0.2550 0.0000  4 Ru 2.72
Ru1 0.6679 0.6679 0.0000  4 Sc 2.72

Summary:
Crystal system   tetragonal
Space group   I4mm
Excess energy over the best structure of this formula in the dataset   0.000 eV per atom
Calculated formation energy   84 meV per atom

---

[10]
Entry from Alexandria: an optimized crystal structure of BaScRu2 (PBE).

Cell: 9.1714 9.1714 9.1714 Å, 20.50 20.50 20.50°
Closest atoms and distances in Å follow each position.
Atoms (fractional coordinates):
Ba1 0.0000 0.0000 0.0000  6 Ru 3.15, 6 Ba 3.26
Sc1 0.5000 0.5000 0.5000  6 Ru 2.72
Ru1 0.2395 0.2395 0.2395  3 Sc 2.72
Ru2 0.7605 0.7605 0.7605  3 Sc 2.72

Summary:
Crystal system   trigonal
Space group   R-3m
Calculated formation energy   477 meV per atom

---

[11]
Entry from Alexandria: an optimized crystal structure of BaScRu2 (PBE).

Cell: 4.5540 4.5540 6.7522 Å, 97.81 97.81 41.36°
Closest atoms and distances in Å follow each position.
Atoms (fractional coordinates):
Ba1 0.0000 0.0000 0.0000  2 Ba 3.22, 6 Ru 3.26-3.38
Sc1 0.5000 0.5000 0.5000  6 Ru 2.64-2.68
Ru1 0.2358 0.2358 0.6600  3 Sc 2.64-2.68, 2 Ru 2.73
Ru2 0.7642 0.7642 0.3400  3 Sc 2.64-2.68, 2 Ru 2.73

Summary:
Crystal system   monoclinic
Space group   C2/m
Calculated formation energy   299 meV per atom

---

[12]
Entry from Alexandria: an optimized crystal structure of BaScRu4 (PBE).

Cell: 5.4164 5.4164 5.4164 Å, 60.00 60.00 60.00°
Closest atoms and distances in Å follow each position.
Atoms (fractional coordinates):
Ba1 0.0000 0.0000 0.0000  12 Ru 3.18, 4 Sc 3.32
Sc1 0.2500 0.2500 0.2500  12 Ru 3.17, 4 Ba 3.32
Ru1 0.1284 0.6239 0.6239  6 Ru 2.68-2.73
Ru2 0.6239 0.1284 0.6239  6 Ru 2.68-2.73
Ru3 0.6239 0.6239 0.1284  6 Ru 2.68-2.73
Ru4 0.6239 0.6239 0.6239  6 Ru 2.68-2.73

Summary:
Crystal system   cubic
Space group   F-43m
Calculated formation energy   309 meV per atom

---

[13]
Entry from Alexandria: an optimized crystal structure of BaSrSc2Ru (PBE).

Cell: 5.2085 5.2085 6.0149 Å, 90.00 90.00 90.00°
Closest atoms and distances in Å follow each position.
Atoms (fractional coordinates):
Ba1 0.0000 0.0000 0.0000  2 Ru 3.01
Sr1 0.5000 0.5000 0.0000  4 Ba 3.68, 8 Sc 3.98
Sc1 0.0000 0.5000 0.5000  2 Ru 2.60
Sc2 0.5000 0.0000 0.5000  2 Ru 2.60
Ru1 0.0000 0.0000 0.5000  4 Sc 2.60

Summary:
Crystal system   tetragonal
Space group   P4/mmm
Calculated formation energy   96 meV per atom

---

[14]
Entry from Alexandria: an optimized crystal structure of BaSc2TaRu (PBE).

Cell: 5.3598 5.3598 4.8094 Å, 90.00 90.00 90.00°
Closest atoms and distances in Å follow each position.
Atoms (fractional coordinates):
Ba1 0.0000 0.0000 0.0000  8 Sc 3.60, 4 Ru 3.79
Sc1 0.0000 0.5000 0.5000  2 Ta 2.68
Sc2 0.5000 0.0000 0.5000  2 Ta 2.68
Ta1 0.5000 0.5000 0.5000  2 Ru 2.40, 4 Sc 2.68
Ru1 0.5000 0.5000 0.0000  2 Ta 2.40

Summary:
Crystal system   tetragonal
Space group   P4/mmm
Calculated formation energy   586 meV per atom

---

[15]
Entry from Alexandria: an optimized crystal structure of BaY2ScRu (PBE).

Cell: 5.5360 5.5360 5.2121 Å, 90.00 90.00 90.00°
Closest atoms and distances in Å follow each position.
Atoms (fractional coordinates):
Ba1 0.0000 0.0000 0.0000  8 Y 3.80, 4 Sc 3.91
Y1 0.0000 0.5000 0.5000  2 Ru 2.77
Y2 0.5000 0.0000 0.5000  2 Ru 2.77
Sc1 0.5000 0.5000 0.0000  2 Ru 2.61
Ru1 0.5000 0.5000 0.5000  2 Sc 2.61, 4 Y 2.77

Summary:
Crystal system   tetragonal
Space group   P4/mmm
Calculated formation energy   -106 meV per atom

---

[16]
Entry from Alexandria: an optimized crystal structure of BaRuSe2 (PBE).

Cell: 4.1180 4.1180 7.5426 Å, 90.00 90.00 119.64°
Closest atoms and distances in Å follow each position.
Atoms (fractional coordinates):
Ba1 0.0000 0.0000 0.0000  4 Se 3.08
Ru1 0.0000 0.0000 0.5000  4 Se 2.55
Se1 0.5000 0.5000 0.3030  2 Ru 2.55
Se2 0.5000 0.5000 0.6970  2 Ru 2.55

Summary:
E_form (uncorrected)   -0.37 eV/atom
Crystal system   orthorhombic
Space group   Cmmm
Excess energy over the best structure of this formula in the dataset   0.484 eV per atom

---

| no. | calculated volume (A^3/atom) | calculated density (kg/m3) |
| --- | --- | --- |
| 1 | 33.0 | 5285 |
| 2 | 34.4 | 5083 |
| 3 | 28.8 | 6069 |
| 4 | 20.5 | 7779 |
| 5 | 33.6 | 5203 |
| 6 | 27.1 | 4578 |
| 7 | 20.0 | 7967 |
| 8 | 30.2 | 5193 |
| 9 | 26.9 | 5828 |
| 10 | 20.7 | 7711 |
| 11 | 22.9 | 6973 |
| 12 | 18.7 | 8668 |
| 13 | 32.6 | 4233 |
| 14 | 27.6 | 6121 |
| 15 | 31.9 | 4794 |
| 16 | 27.8 | 5919 |